Entry 1:
Density functional theory data (GGA-PBE) for Nd4Si2Bi after structural relaxation.

Properties
- Crystal system: tetragonal
- VASP energy: -5.398 eV/atom
- Density of states at the Fermi level: 22.6 states/eV/cell
- M_tot: 0.0 Bohr magnetons per cell
- Formation energy without anion corrections: -3.99 eV per formula unit
- Mass density: 6.1 g/cm³

Geometry as CIF:
```
data_Nd4Si2Bi
_symmetry_space_group_name_H-M 'I 41/a m d'
_symmetry_Int_Tables_number 141
_cell_length_a 9.7118
_cell_length_b 9.7118
_cell_length_c 9.6889
_cell_angle_alpha 90.00
_cell_angle_beta 90.00
_cell_angle_gamma 90.00
loop_
_symmetry_equiv_pos_as_xyz
'x,y,z'
'-x,-y,-z'
'-y+1/4,x+3/4,z+1/4'
'y+1/4,-x+3/4,-z+1/4'
'-x+1/2,-y,z+1/2'
'x+1/2,y,-z+1/2'
'y+1/4,-x+1/4,z+3/4'
'-y+1/4,x+1/4,-z+3/4'
'x,-y,-z'
'-x,y,z'
'-y+1/4,-x+1/4,-z+3/4'
'y+1/4,x+1/4,z+3/4'
'-x+1/2,y,-z+1/2'
'x+1/2,-y,z+1/2'
'y+1/4,x+3/4,-z+1/4'
'-y+1/4,-x+3/4,z+1/4'
'x+1/2,y+1/2,z+1/2'
'-x+1/2,-y+1/2,-z+1/2'
'-y+3/4,x+1/4,z+3/4'
'y+3/4,-x+1/4,-z+3/4'
'-x,-y+1/2,z'
'x,y+1/2,-z'
'y+3/4,-x+3/4,z+1/4'
'-y+3/4,x+3/4,-z+1/4'
'x+1/2,-y+1/2,-z+1/2'
'-x+1/2,y+1/2,z+1/2'
'-y+3/4,-x+3/4,-z+1/4'
'y+3/4,x+3/4,z+1/4'
'-x,y+1/2,-z'
'x,-y+1/2,z'
'y+3/4,x+1/4,-z+3/4'
'-y+3/4,-x+1/4,z+3/4'
loop_
_atom_site_label
_atom_site_fract_x
_atom_site_fract_y
_atom_site_fract_z
_atom_site_occupancy
Nd1 0.0000 0.0704 0.2096 1
Si1 0.0000 0.0000 0.5000 1
Bi1 0.0000 0.2500 0.8750 1
```



Entry 2:
Density functional theory data (GGA-PBE) for Nd4SiBiTe2 after structural relaxation.

Properties
- Crystal system: monoclinic
- VASP energy: -5.505 eV/atom
- Density of states at the Fermi level: 1.8 states/eV/cell
- M_tot: 0.0 Bohr magnetons per cell
- Formation energy without anion corrections: -9.38 eV per formula unit
- Mass density: 6.9 g/cm³

Geometry as CIF:
```
data_Nd4SiBiTe2
_symmetry_space_group_name_H-M 'P 1 2/m 1'
_symmetry_Int_Tables_number 10
_cell_length_a 7.7847
_cell_length_b 4.4615
_cell_length_c 7.7935
_cell_angle_alpha 90.00
_cell_angle_beta 109.18
_cell_angle_gamma 90.00
loop_
_symmetry_equiv_pos_as_xyz
'x,y,z'
'-x,-y,-z'
'-x,y,-z'
'x,-y,z'
loop_
_atom_site_label
_atom_site_fract_x
_atom_site_fract_y
_atom_site_fract_z
_atom_site_occupancy
Nd1 0.2282 0.0000 0.2290 1
Nd2 0.2356 0.5000 0.7621 1
Si1 0.0000 0.5000 0.0000 1
Bi1 0.0000 0.0000 0.5000 1
Te1 0.5000 0.0000 0.0000 1
Te2 0.5000 0.5000 0.5000 1
```



Entry 3:
Density functional theory data (GGA-PBE) for Nd6Si2BiTe3 after structural relaxation.

Properties
- Crystal system: monoclinic
- VASP energy: -5.556 eV/atom
- Density of states at the Fermi level: 5.3 states/eV/cell
- M_tot: 0.0 Bohr magnetons per cell
- Formation energy without anion corrections: -13.91 eV per formula unit
- Mass density: 6.7 g/cm³

Geometry as CIF:
```
data_Nd6Si2BiTe3
_symmetry_space_group_name_H-M 'C 1 2/m 1'
_symmetry_Int_Tables_number 12
_cell_length_a 19.4763
_cell_length_b 4.4250
_cell_length_c 9.0014
_cell_angle_alpha 90.00
_cell_angle_beta 103.68
_cell_angle_gamma 90.00
loop_
_symmetry_equiv_pos_as_xyz
'x,y,z'
'-x,-y,-z'
'-x,y,-z'
'x,-y,z'
'x+1/2,y+1/2,z'
'-x+1/2,-y+1/2,-z'
'-x+1/2,y+1/2,-z'
'x+1/2,-y+1/2,z'
loop_
_atom_site_label
_atom_site_fract_x
_atom_site_fract_y
_atom_site_fract_z
_atom_site_occupancy
Nd1 0.0114 0.0000 0.2558 1
Nd2 0.1696 0.5000 0.1095 1
Nd3 0.1733 0.5000 0.5692 1
Si1 0.1684 0.0000 0.3361 1
Bi1 0.0000 0.5000 0.0000 1
Te1 0.0000 0.5000 0.5000 1
Te2 0.1627 0.0000 0.8338 1
```



Entry 4:
Density functional theory data (GGA-PBE) for Nd6SiBi2Te3 after structural relaxation.

Properties
- Crystal system: monoclinic
- VASP energy: -5.457 eV/atom
- Density of states at the Fermi level: 9.1 states/eV/cell
- M_tot: 0.0 Bohr magnetons per cell
- Formation energy without anion corrections: -14.27 eV per formula unit
- Mass density: 7.2 g/cm³

Geometry as CIF:
```
data_Nd6SiBi2Te3
_symmetry_space_group_name_H-M 'C 1 2/m 1'
_symmetry_Int_Tables_number 12
_cell_length_a 19.7070
_cell_length_b 4.4888
_cell_length_c 9.0689
_cell_angle_alpha 90.00
_cell_angle_beta 103.16
_cell_angle_gamma 90.00
loop_
_symmetry_equiv_pos_as_xyz
'x,y,z'
'-x,-y,-z'
'-x,y,-z'
'x,-y,z'
'x+1/2,y+1/2,z'
'-x+1/2,-y+1/2,-z'
'-x+1/2,y+1/2,-z'
'x+1/2,-y+1/2,z'
loop_
_atom_site_label
_atom_site_fract_x
_atom_site_fract_y
_atom_site_fract_z
_atom_site_occupancy
Nd1 0.0010 0.0000 0.2762 1
Nd2 0.1540 0.5000 0.5773 1
Nd3 0.1653 0.5000 0.0822 1
Si1 0.0000 0.5000 0.5000 1
Bi1 0.1667 0.0000 0.8338 1
Te1 0.0000 0.5000 0.0000 1
Te2 0.1703 0.0000 0.3356 1
```



Entry 5:
Density functional theory data (GGA-PBE) for Nd2Sm2Bi5 after structural relaxation.

Properties
- Crystal system: orthorhombic
- VASP energy: -4.985 eV/atom
- E_form: -0.721 eV per atom
- Density of states at the Fermi level: 22.9 states/eV/cell
- M_tot: 0.0 Bohr magnetons per cell
- Mass density: 9.2 g/cm³

Geometry as CIF:
```
data_Nd2Sm2Bi5
_symmetry_space_group_name_H-M 'C m c e'
_symmetry_Int_Tables_number 64
_symmetry_space_group_name_Hall '-C 2ac 2'
_cell_length_a 16.3328
_cell_length_b 8.4157
_cell_length_c 8.6079
_cell_angle_alpha 90.00
_cell_angle_beta 90.00
_cell_angle_gamma 90.00
loop_
_atom_site_label
_atom_site_fract_x
_atom_site_fract_y
_atom_site_fract_z
_atom_site_occupancy
Nd1 0.0000 0.1566 0.1605 1
Sm1 0.1912 0.0000 0.5000 1
Bi1 0.0000 0.0000 0.5000 1
Bi2 0.1425 0.1493 0.8510 1
```



Entry 6:
Density functional theory data (GGA-PBE) for Nd2SmBi after structural relaxation.

Properties
- Crystal system: trigonal
- VASP energy: -4.528 eV/atom
- E_form: 0.006 eV per atom
- Density of states at the Fermi level: 14.1 states/eV/cell
- M_tot: 0.0 Bohr magnetons per cell
- Mass density: 7.7 g/cm³

Geometry as CIF:
```
data_Nd2SmBi
_symmetry_space_group_name_H-M 'R -3 m'
_symmetry_Int_Tables_number 166
_symmetry_space_group_name_Hall '-R 3 2"'
_cell_length_a 3.6084
_cell_length_b 3.6084
_cell_length_c 37.3264
_cell_angle_alpha 90.00
_cell_angle_beta 90.00
_cell_angle_gamma 120.00
loop_
_atom_site_label
_atom_site_fract_x
_atom_site_fract_y
_atom_site_fract_z
_atom_site_occupancy
Nd1 0.0000 0.0000 0.0869 1
Sm1 0.0000 0.0000 0.5000 1
Bi1 0.0000 0.0000 0.0000 1
```



Entry 7:
Density functional theory data (GGA-PBE) for NdSmBi after structural relaxation.

Properties
- Crystal system: orthorhombic
- VASP energy: -4.836 eV/atom
- E_form: -0.380 eV per atom
- Density of states at the Fermi level: 5.1 states/eV/cell
- M_tot: 0.0 Bohr magnetons per cell
- Mass density: 8.6 g/cm³

Geometry as CIF:
```
data_NdSmBi
_symmetry_space_group_name_H-M 'P m m a'
_symmetry_Int_Tables_number 51
_cell_length_a 6.2267
_cell_length_b 3.4912
_cell_length_c 8.9300
_cell_angle_alpha 90.00
_cell_angle_beta 90.00
_cell_angle_gamma 90.00
loop_
_symmetry_equiv_pos_as_xyz
'x,y,z'
'-x,-y,-z'
'-x+1/2,-y,z'
'x+1/2,y,-z'
'x+1/2,-y,-z'
'-x+1/2,y,z'
'-x,y,-z'
'x,-y,z'
loop_
_atom_site_label
_atom_site_fract_x
_atom_site_fract_y
_atom_site_fract_z
_atom_site_occupancy
Nd1 0.2500 0.0000 0.1599 1
Sm1 0.0000 0.5000 0.5000 1
Bi1 0.2500 0.5000 0.8267 1
```



Entry 8:
Density functional theory data (GGA-PBE) for Nd3Sm4Bi4 after structural relaxation.

Properties
- Crystal system: orthorhombic
- VASP energy: -4.979 eV/atom
- E_form: -0.551 eV per atom
- Density of states at the Fermi level: 25.6 states/eV/cell
- M_tot: 0.0 Bohr magnetons per cell
- Mass density: 8.4 g/cm³

Geometry as CIF:
```
data_Nd3Sm4Bi4
_symmetry_space_group_name_H-M 'A m m 2'
_symmetry_Int_Tables_number 38
_cell_length_a 11.7923
_cell_length_b 4.4421
_cell_length_c 14.1553
_cell_angle_alpha 90.00
_cell_angle_beta 90.00
_cell_angle_gamma 90.00
loop_
_symmetry_equiv_pos_as_xyz
'x,y,z'
'-x,-y,z'
'-x,y,z'
'x,-y,z'
'x,y+1/2,z+1/2'
'-x,-y+1/2,z+1/2'
'-x,y+1/2,z+1/2'
'x,-y+1/2,z+1/2'
loop_
_atom_site_label
_atom_site_fract_x
_atom_site_fract_y
_atom_site_fract_z
_atom_site_occupancy
Nd1 0.0000 0.0000 0.0000 1
Nd2 0.3537 0.0000 0.0732 1
Sm1 0.0000 0.0000 0.3034 1
Sm2 0.2426 0.0000 0.7705 1
Sm3 0.5000 0.0000 0.3709 1
Bi1 0.0000 0.0000 0.6551 1
Bi2 0.2202 0.0000 0.4408 1
Bi3 0.5000 0.0000 0.6984 1
```



Entry 9:
Density functional theory data (GGA-PBE) for NdSm5Bi5 after structural relaxation.

Properties
- Crystal system: monoclinic
- VASP energy: -5.085 eV/atom
- E_form: -0.742 eV per atom
- Density of states at the Fermi level: 10.0 states/eV/cell
- M_tot: 0.0 Bohr magnetons per cell
- Mass density: 8.2 g/cm³

Geometry as CIF:
```
data_NdSm5Bi5
_symmetry_space_group_name_H-M 'C 1 2/m 1'
_symmetry_Int_Tables_number 12
_cell_length_a 14.2447
_cell_length_b 6.4098
_cell_length_c 9.0383
_cell_angle_alpha 90.00
_cell_angle_beta 108.40
_cell_angle_gamma 90.00
loop_
_symmetry_equiv_pos_as_xyz
'x,y,z'
'-x,-y,-z'
'-x,y,-z'
'x,-y,z'
'x+1/2,y+1/2,z'
'-x+1/2,-y+1/2,-z'
'-x+1/2,y+1/2,-z'
'x+1/2,-y+1/2,z'
loop_
_atom_site_label
_atom_site_fract_x
_atom_site_fract_y
_atom_site_fract_z
_atom_site_occupancy
Nd1 0.0000 0.0000 0.0000 1
Sm1 0.0000 0.0000 0.5000 1
Sm2 0.1650 0.5000 0.3346 1
Sm3 0.1651 0.5000 0.8311 1
Bi1 0.0000 0.5000 0.0000 1
Bi2 0.1675 0.0000 0.3370 1
Bi3 0.1700 0.0000 0.8314 1
```



Entry 10:
Density functional theory data (GGA-PBE) for NdSmBi6 after structural relaxation.

Properties
- Crystal system: orthorhombic
- VASP energy: -4.467 eV/atom
- E_form: -0.370 eV per atom
- Density of states at the Fermi level: 9.4 states/eV/cell
- M_tot: 0.0 Bohr magnetons per cell
- Mass density: 10.0 g/cm³

Geometry as CIF:
```
data_NdSmBi6
_symmetry_space_group_name_H-M 'A m m 2'
_symmetry_Int_Tables_number 38
_cell_length_a 4.6819
_cell_length_b 4.6958
_cell_length_c 23.3551
_cell_angle_alpha 90.00
_cell_angle_beta 90.00
_cell_angle_gamma 90.00
loop_
_symmetry_equiv_pos_as_xyz
'x,y,z'
'-x,-y,z'
'-x,y,z'
'x,-y,z'
'x,y+1/2,z+1/2'
'-x,-y+1/2,z+1/2'
'-x,y+1/2,z+1/2'
'x,-y+1/2,z+1/2'
loop_
_atom_site_label
_atom_site_fract_x
_atom_site_fract_y
_atom_site_fract_z
_atom_site_occupancy
Nd1 0.0000 0.0000 0.0000 1
Sm1 0.5000 0.0000 0.6484 1
Bi1 0.0000 0.0000 0.1385 1
Bi2 0.0000 0.0000 0.3828 1
Bi3 0.0000 0.0000 0.7577 1
Bi4 0.5000 0.0000 0.2645 1
Bi5 0.5000 0.0000 0.5111 1
Bi6 0.5000 0.0000 0.8897 1
```